Compound: LiBr2Cl
Source: the Alexandria database
Functional: GGA-PBE
Structure: optimized geometry

Cell and atoms, written as CIF:
```
data_LiBr2Cl
_cell_length_a 7.4308
_cell_length_b 7.4308
_cell_length_c 7.4308
_cell_angle_alpha 90.00
_cell_angle_beta 90.00
_cell_angle_gamma 90.00
_space_group_name_H-M_alt 'F -4 3 m'
_space_group_IT_number 216
_space_group_name_Hall 'F -4 2 3'
loop_
_atom_site_label
_atom_site_type_symbol
_atom_site_fract_x
_atom_site_fract_y
_atom_site_fract_z
_atom_site_occupancy
Li1 Li 0.0000 0.0000 0.0000 1
Br1 Br 0.0000 0.0000 0.5000 1
Br2 Br 0.2500 0.2500 0.2500 1
Cl1 Cl 0.2500 0.2500 0.7500 1
```

* raw formation energy: -0.237 eV/atom
* crystal system: cubic
* VASP energy: -2.0133 eV per atom



Compound: Li5BrCl4
Source: the Alexandria database
Functional: GGA-PBE
Structure: optimized geometry

Cell and atoms, written as CIF:
```
data_Li5BrCl4
_cell_length_a 3.7068
_cell_length_b 3.7068
_cell_length_c 26.1446
_cell_angle_alpha 90.00
_cell_angle_beta 90.00
_cell_angle_gamma 90.00
_space_group_name_H-M_alt 'I 4/m m m'
_space_group_IT_number 139
_space_group_name_Hall '-I 4 2'
loop_
_atom_site_label
_atom_site_type_symbol
_atom_site_fract_x
_atom_site_fract_y
_atom_site_fract_z
_atom_site_occupancy
Li1 Li 0.0000 0.0000 0.0000 1
Li2 Li 0.0000 0.0000 0.2005 1
Li3 Li 0.0000 0.0000 0.3947 1
Br1 Br 0.0000 0.0000 0.5000 1
Cl1 Cl 0.0000 0.0000 0.1032 1
Cl2 Cl 0.0000 0.0000 0.2986 1
```

* raw formation energy: -1.743 eV/atom
* crystal system: tetragonal
* VASP energy: -3.6062 eV per atom



Compound: LiBrCl2
Source: the Alexandria database
Functional: GGA-PBE
Structure: optimized geometry

Cell and atoms, written as CIF:
```
data_LiBrCl2
_cell_length_a 3.7634
_cell_length_b 3.7634
_cell_length_c 22.3427
_cell_angle_alpha 90.00
_cell_angle_beta 90.00
_cell_angle_gamma 120.00
_space_group_name_H-M_alt 'R -3 m'
_space_group_IT_number 166
_space_group_name_Hall '-R 3 2"'
loop_
_atom_site_label
_atom_site_type_symbol
_atom_site_fract_x
_atom_site_fract_y
_atom_site_fract_z
_atom_site_occupancy
Li1 Li 0.0000 0.0000 0.0000 1
Br1 Br 0.0000 0.0000 0.5000 1
Cl1 Cl 0.0000 0.0000 0.2740 1
```

* raw formation energy: -0.490 eV/atom
* crystal system: trigonal
* VASP energy: -2.3098 eV per atom



Compound: LiBrCl2
Source: the Alexandria database
Functional: GGA-PBE
Structure: optimized geometry

Cell and atoms, written as CIF:
```
data_LiBrCl2
_cell_length_a 3.8594
_cell_length_b 4.9181
_cell_length_c 11.0882
_cell_angle_alpha 90.00
_cell_angle_beta 90.00
_cell_angle_gamma 90.00
_space_group_name_H-M_alt 'I m m m'
_space_group_IT_number 71
_space_group_name_Hall '-I 2 2'
loop_
_atom_site_label
_atom_site_type_symbol
_atom_site_fract_x
_atom_site_fract_y
_atom_site_fract_z
_atom_site_occupancy
Li1 Li 0.0000 0.0000 0.0000 1
Br1 Br 0.0000 0.0000 0.5000 1
Cl1 Cl 0.0000 0.5000 0.3593 1
```

* raw formation energy: -0.519 eV/atom
* crystal system: orthorhombic
* VASP energy: -2.3392 eV per atom



Compound: LiBr2Cl
Source: the Alexandria database
Functional: GGA-PBE
Structure: optimized geometry

Cell and atoms, written as CIF:
```
data_LiBr2Cl
_cell_length_a 5.1150
_cell_length_b 6.1592
_cell_length_c 8.3838
_cell_angle_alpha 90.00
_cell_angle_beta 90.00
_cell_angle_gamma 90.00
_space_group_name_H-M_alt 'C m m m'
_space_group_IT_number 65
_space_group_name_Hall '-C 2 2'
loop_
_atom_site_label
_atom_site_type_symbol
_atom_site_fract_x
_atom_site_fract_y
_atom_site_fract_z
_atom_site_occupancy
Li1 Li 0.0000 0.0000 0.0000 1
Br1 Br 0.2500 0.2500 0.5000 1
Cl1 Cl 0.0000 0.5000 0.0000 1
```

* raw formation energy: -0.650 eV/atom
* crystal system: orthorhombic
* VASP energy: -2.4264 eV per atom



Compound: Li3BrCl
Source: the Alexandria database
Functional: GGA-PBE
Structure: optimized geometry

Cell and atoms, written as CIF:
```
data_Li3BrCl
_cell_length_a 4.9623
_cell_length_b 4.9623
_cell_length_c 4.9623
_cell_angle_alpha 90.00
_cell_angle_beta 90.00
_cell_angle_gamma 90.00
_space_group_name_H-M_alt 'P m -3 m'
_space_group_IT_number 221
_space_group_name_Hall '-P 4 2 3'
loop_
_atom_site_label
_atom_site_type_symbol
_atom_site_fract_x
_atom_site_fract_y
_atom_site_fract_z
_atom_site_occupancy
Li1 Li 0.0000 0.0000 0.5000 1
Br1 Br 0.0000 0.0000 0.0000 1
Cl1 Cl 0.5000 0.5000 0.5000 1
```

* raw formation energy: -0.843 eV/atom
* crystal system: cubic
* VASP energy: -2.6948 eV per atom



Compound: LiBr2Cl
Source: the Alexandria database
Functional: GGA-PBE
Structure: optimized geometry

Cell and atoms, written as CIF:
```
data_LiBr2Cl
_cell_length_a 18.1279
_cell_length_b 3.8249
_cell_length_c 3.8204
_cell_angle_alpha 90.00
_cell_angle_beta 102.10
_cell_angle_gamma 90.00
_space_group_name_H-M_alt 'C 1 m 1'
_space_group_IT_number 8
loop_
_space_group_symop_operation_xyz
'x,y,z'
'x,-y,z'
'x+1/2,y+1/2,z'
'x+1/2,-y+1/2,z'
loop_
_atom_site_label
_atom_site_type_symbol
_atom_site_fract_x
_atom_site_fract_y
_atom_site_fract_z
_atom_site_occupancy
Li1 Li 0.0000 0.0000 0.0000 1
Br1 Br 0.0002 0.5000 0.5002 1
Br2 Br 0.2514 0.5000 0.2513 1
Cl1 Cl 0.2513 0.0000 0.7512 1
```

* raw formation energy: -0.562 eV/atom
* crystal system: monoclinic
* VASP energy: -2.3388 eV per atom



Compound: LiBr2Cl
Source: the Alexandria database
Functional: GGA-PBE
Structure: optimized geometry

Cell and atoms, written as CIF:
```
data_LiBr2Cl
_cell_length_a 7.4216
_cell_length_b 7.4216
_cell_length_c 7.4216
_cell_angle_alpha 90.00
_cell_angle_beta 90.00
_cell_angle_gamma 90.00
_space_group_name_H-M_alt 'F m -3 m'
_space_group_IT_number 225
_space_group_name_Hall '-F 4 2 3'
loop_
_atom_site_label
_atom_site_type_symbol
_atom_site_fract_x
_atom_site_fract_y
_atom_site_fract_z
_atom_site_occupancy
Li1 Li 0.0000 0.0000 0.0000 1
Br1 Br 0.2500 0.2500 0.2500 1
Cl1 Cl 0.0000 0.0000 0.5000 1
```

* raw formation energy: -0.183 eV/atom
* crystal system: cubic
* VASP energy: -1.9599 eV per atom



Compound: LiBrCl2
Source: the Alexandria database
Functional: GGA-PBE
Structure: optimized geometry

Cell and atoms, written as CIF:
```
data_LiBrCl2
_cell_length_a 7.2564
_cell_length_b 7.2564
_cell_length_c 7.2564
_cell_angle_alpha 90.00
_cell_angle_beta 90.00
_cell_angle_gamma 90.00
_space_group_name_H-M_alt 'F m -3 m'
_space_group_IT_number 225
_space_group_name_Hall '-F 4 2 3'
loop_
_atom_site_label
_atom_site_type_symbol
_atom_site_fract_x
_atom_site_fract_y
_atom_site_fract_z
_atom_site_occupancy
Li1 Li 0.0000 0.0000 0.0000 1
Br1 Br 0.0000 0.0000 0.5000 1
Cl1 Cl 0.2500 0.2500 0.2500 1
```

* raw formation energy: -0.281 eV/atom
* crystal system: cubic
* VASP energy: -2.1012 eV per atom



Compound: Li5Br4Cl
Source: the Alexandria database
Functional: GGA-PBE
Structure: optimized geometry

Cell and atoms, written as CIF:
```
data_Li5Br4Cl
_cell_length_a 4.1432
_cell_length_b 4.1432
_cell_length_c 33.4081
_cell_angle_alpha 90.00
_cell_angle_beta 90.00
_cell_angle_gamma 120.00
_space_group_name_H-M_alt 'P 3 m 1'
_space_group_IT_number 156
loop_
_space_group_symop_operation_xyz
'x,y,z'
'-y,x-y,z'
'-x+y,-x,z'
'-y,-x,z'
'-x+y,y,z'
'x,x-y,z'
loop_
_atom_site_label
_atom_site_type_symbol
_atom_site_fract_x
_atom_site_fract_y
_atom_site_fract_z
_atom_site_occupancy
Li1 Li 0.0000 0.0000 0.0000 1
Li2 Li 0.0000 0.0000 0.1924 1
Li3 Li 0.0000 0.0000 0.3849 1
Li4 Li 0.0000 0.0000 0.5908 1
Li5 Li 0.0000 0.0000 0.7953 1
Li6 Li 0.6667 0.3333 0.1022 1
Li7 Li 0.6667 0.3333 0.2951 1
Li8 Li 0.6667 0.3333 0.4882 1
Li9 Li 0.6667 0.3333 0.6932 1
Li10 Li 0.6667 0.3333 0.8977 1
Br1 Br 0.0000 0.0000 0.0767 1
Br2 Br 0.0000 0.0000 0.2698 1
Br3 Br 0.0000 0.0000 0.4625 1
Br4 Br 0.0000 0.0000 0.6674 1
Br5 Br 0.0000 0.0000 0.8718 1
Br6 Br 0.6667 0.3333 0.5650 1
Br7 Br 0.6667 0.3333 0.7696 1
Br8 Br 0.6667 0.3333 0.9742 1
Cl1 Cl 0.6667 0.3333 0.1735 1
Cl2 Cl 0.6667 0.3333 0.3664 1
```

* raw formation energy: -1.601 eV/atom
* crystal system: trigonal
* VASP energy: -3.4113 eV per atom



Compound: LiBrCl2
Source: the Alexandria database
Functional: GGA-PBE
Structure: optimized geometry

Cell and atoms, written as CIF:
```
data_LiBrCl2
_cell_length_a 7.2504
_cell_length_b 7.2504
_cell_length_c 7.2504
_cell_angle_alpha 90.00
_cell_angle_beta 90.00
_cell_angle_gamma 90.00
_space_group_name_H-M_alt 'F -4 3 m'
_space_group_IT_number 216
_space_group_name_Hall 'F -4 2 3'
loop_
_atom_site_label
_atom_site_type_symbol
_atom_site_fract_x
_atom_site_fract_y
_atom_site_fract_z
_atom_site_occupancy
Li1 Li 0.0000 0.0000 0.0000 1
Br1 Br 0.2500 0.2500 0.7500 1
Cl1 Cl 0.0000 0.0000 0.5000 1
Cl2 Cl 0.2500 0.2500 0.2500 1
```

* raw formation energy: -0.223 eV/atom
* crystal system: cubic
* VASP energy: -2.0425 eV per atom



Compound: LiBrCl2
Source: the Alexandria database
Functional: GGA-PBE
Structure: optimized geometry

Cell and atoms, written as CIF:
```
data_LiBrCl2
_cell_length_a 3.8331
_cell_length_b 8.3397
_cell_length_c 7.4083
_cell_angle_alpha 90.00
_cell_angle_beta 90.00
_cell_angle_gamma 90.00
_space_group_name_H-M_alt 'C m m m'
_space_group_IT_number 65
_space_group_name_Hall '-C 2 2'
loop_
_atom_site_label
_atom_site_type_symbol
_atom_site_fract_x
_atom_site_fract_y
_atom_site_fract_z
_atom_site_occupancy
Li1 Li 0.0000 0.0000 0.0000 1
Br1 Br 0.0000 0.0000 0.5000 1
Cl1 Cl 0.0000 0.5000 0.1856 1
```

* raw formation energy: -0.506 eV/atom
* crystal system: orthorhombic
* VASP energy: -2.3264 eV per atom